No. 1
First-principles (GGA-PBE) data for a relaxed Nd2DyEr9 crystal, as listed in Alexandria via LeMat-Bulk.

Lattice parameters (Å, degrees): 5.0039 5.0039 15.0035 90.00 90.00 90.00
Fractional coordinates of all 12 atoms:
Nd (0.0000, 0.0000, 0.1672)
Nd (0.0000, 0.0000, 0.8328)
Dy (0.0000, 0.0000, 0.5000)
Er (0.0000, 0.5000, 0.0000)
Er (0.0000, 0.5000, 0.3354)
Er (0.0000, 0.5000, 0.6646)
Er (0.5000, 0.0000, 0.0000)
Er (0.5000, 0.0000, 0.3354)
Er (0.5000, 0.0000, 0.6646)
Er (0.5000, 0.5000, 0.1680)
Er (0.5000, 0.5000, 0.5000)
Er (0.5000, 0.5000, 0.8320)

Values from the calculation:
Calculated formation energy = 0.0247 eV/atom
Energy relative to the lowest polymorph listed for this composition = 0 meV/atom
D(E_F) = 1.401 states/eV/atom

=====

No. 2
First-principles (GGA-PBE) data for a relaxed Ca2AlN2 crystal, as listed in Alexandria via LeMat-Bulk.

Lattice parameters (Å, degrees): 6.2987 6.2987 3.4788 90.00 90.00 90.00
Fractional coordinates of all 10 atoms:
Ca (0.1436, 0.3564, 0.0000)
Ca (0.3564, 0.8564, 0.0000)
Ca (0.6436, 0.1436, 0.0000)
Ca (0.8564, 0.6436, 0.0000)
Al (0.0000, 0.0000, 0.5000)
Al (0.5000, 0.5000, 0.5000)
N (0.1814, 0.6814, 0.5000)
N (0.3186, 0.1814, 0.5000)
N (0.6814, 0.8186, 0.5000)
N (0.8186, 0.3186, 0.5000)

Values from the calculation:
Energy relative to the lowest polymorph listed for this composition = 0 meV/atom
D(E_F) = 0.533 states/eV/atom

=====

No. 3
First-principles (GGA-PBE) data for a relaxed AlFeBr2 crystal, as listed in Alexandria via LeMat-Bulk.

Lattice parameters (Å, degrees): 4.8536 4.8536 7.5872 108.52 108.52 39.76
Fractional coordinates of all 4 atoms:
Al (0.0000, 0.0000, 0.0000)
Fe (0.7370, 0.7370, 0.0751)
Br (0.2512, 0.2512, 0.7901)
Br (0.3967, 0.3967, 0.3065)

Values from the calculation:
Energy relative to the lowest polymorph listed for this composition = 207 meV/atom

=====

No. 4
First-principles (GGA-PBE) data for a relaxed MnAl2Se crystal, as listed in Alexandria via LeMat-Bulk.

Lattice parameters (Å, degrees): 4.8321 4.8321 4.5415 107.18 107.18 40.80
Fractional coordinates of all 4 atoms:
Mn (0.0000, 0.0000, 0.0000)
Al (0.2524, 0.2524, 0.7624)
Al (0.7476, 0.7476, 0.2376)
Se (0.5000, 0.5000, 0.5000)

Values from the calculation:
VASP energy = -4.94 eV/atom
D(E_F) = 0.722 states/eV/atom

=====

Number 1: total moment 0.0 Bohr magnetons per cell. Number 2: total moment 0.0 Bohr magnetons per cell. Number 3: total moment 3.0 Bohr magnetons per cell. Number 4: total moment 3.1 Bohr magnetons per cell.